TmHfPa2 | PBE-GGA | relaxed

Summary:
- Energy of formation from the pure elements: 200 meV/atom
- Crystal system: tetragonal
- Total moment: 0.00 μB/cell

a = 4.9596 Å, b = 4.5141 Å, c = 4.5141 Å
α = 90.00°, β = 90.00°, γ = 90.00°
Closest atoms and distances in Å follow each position.
Fractional coordinates of all 4 atoms:
Pa 0.0000 0.5000 0.0000  4 Pa 3.19, 4 Hf 3.35, 4 Tm 3.35
Pa 0.0000 0.0000 0.5000  4 Pa 3.19, 4 Hf 3.35, 4 Tm 3.35
Tm 0.5000 0.5000 0.5000  4 Hf 3.19, 8 Pa 3.35
Hf 0.5000 0.0000 0.0000  4 Tm 3.19, 8 Pa 3.35